Compound: Pr3Zn2Ni3
Source: Alexandria via LeMat-Bulk
Functional: PBE
Structure: optimized geometry

Unit cell a=6.2078 b=6.2078 c=13.9300 alpha=90.00 beta=90.00 gamma=142.13
Last column: nearest neighbours and their distance in Å.
Fractional positions:
Pr (0.0791, 0.9209, 0.6109)  6 Ni 2.90-3.06, 3 Zn 3.11-3.15
Pr (0.0791, 0.9209, 0.8891)  6 Ni 2.90-3.06, 3 Zn 3.11-3.15
Pr (0.3518, 0.6482, 0.7500)  4 Ni 2.88-3.01
Pr (0.6482, 0.3518, 0.2500)  4 Ni 2.88-3.01
Pr (0.9209, 0.0791, 0.1109)  6 Ni 2.90-3.06, 3 Zn 3.11-3.15
Pr (0.9209, 0.0791, 0.3891)  6 Ni 2.90-3.06, 3 Zn 3.11-3.15
Zn (0.2185, 0.7815, 0.0790)  4 Ni 2.53-2.71
Zn (0.2185, 0.7815, 0.4210)  4 Ni 2.53-2.71
Zn (0.7815, 0.2185, 0.5790)  4 Ni 2.53-2.71
Zn (0.7815, 0.2185, 0.9210)  4 Ni 2.53-2.71
Ni (0.3236, 0.6764, 0.2500)  2 Zn 2.68, 2 Pr 2.88
Ni (0.4026, 0.5974, 0.5383)  1 Ni 2.52, 3 Zn 2.53-2.71
Ni (0.4026, 0.5974, 0.9617)  1 Ni 2.52, 3 Zn 2.53-2.71
Ni (0.5974, 0.4026, 0.0383)  1 Ni 2.52, 3 Zn 2.53-2.71
Ni (0.5974, 0.4026, 0.4617)  1 Ni 2.52, 3 Zn 2.53-2.71
Ni (0.6764, 0.3236, 0.7500)  2 Zn 2.68, 2 Pr 2.88

## Properties
Energy of formation: -0.335 eV/atom
Symmetry: Cmcm, No. 63
Excess energy over the best structure of this formula in the dataset: 0.00 kcal/mol of atoms
Final energy: -4.61 eV per atom